[1]
Crystalline SrBr at its relaxed geometry, computed with PBE-GGA.

abc: 8.7430 8.8069 8.8386
angles: 90.00 90.00 90.00
Last column: nearest neighbours and their distance in Å.
Atoms (fractional coordinates):
Sr1 0.1064 0.1753 0.1945  4 Br 3.14-3.28
Sr2 0.1522 0.4169 0.6187  4 Br 3.12-3.39
Sr3 0.3478 0.5831 0.1187  4 Br 3.12-3.39
Sr4 0.3936 0.8247 0.6945  4 Br 3.14-3.28
Sr5 0.6064 0.3247 0.8055  4 Br 3.14-3.28
Sr6 0.6522 0.0831 0.3813  4 Br 3.12-3.39
Sr7 0.8478 0.9169 0.8813  4 Br 3.12-3.39
Sr8 0.8936 0.6753 0.3055  4 Br 3.14-3.28
Br1 0.0326 0.7501 0.6245  4 Sr 3.12-3.28
Br2 0.2164 0.8895 0.9987  4 Sr 3.12-3.39
Br3 0.2836 0.1105 0.4987  4 Sr 3.12-3.39
Br4 0.4674 0.2499 0.1245  4 Sr 3.12-3.28
Br5 0.5326 0.7499 0.3755  4 Sr 3.12-3.28
Br6 0.7164 0.6105 0.0013  4 Sr 3.12-3.39
Br7 0.7836 0.3895 0.5013  4 Sr 3.12-3.39
Br8 0.9674 0.2501 0.8755  4 Sr 3.12-3.28

Computed properties:
- E_form (uncorrected) (eV/f.u.) = -2.87
- total magnetic moment (μB per cell) = 0.00
- E_tot (eV per atom) = -3.112
- D(E_F) (states/eV/f.u.) = 0.021

[2]
Crystalline Ba5Sb2N at its relaxed geometry, computed with PBE-GGA.

abc: 8.4607 8.4607 15.1232
angles: 90.00 90.00 133.26
Last column: nearest neighbours and their distance in Å.
Atoms (fractional coordinates):
Ba1 0.0585 0.9415 0.6275  1 N 2.69
Ba2 0.0585 0.9415 0.8725  1 N 2.69
Ba3 0.2925 0.7075 0.2500  2 N 3.37, 2 Sb 3.40
Ba4 0.3061 0.6939 0.6114  1 N 2.82
Ba5 0.3061 0.6939 0.8886  1 N 2.82
Ba6 0.6939 0.3061 0.1114  1 N 2.82
Ba7 0.6939 0.3061 0.3886  1 N 2.82
Ba8 0.7075 0.2925 0.7500  2 N 3.37, 2 Sb 3.40
Ba9 0.9415 0.0585 0.1275  1 N 2.69
Ba10 0.9415 0.0585 0.3725  1 N 2.69
Sb1 0.1605 0.8395 0.0707  6 Ba 3.39-3.56
Sb2 0.1605 0.8395 0.4293  6 Ba 3.39-3.56
Sb3 0.8395 0.1605 0.5707  6 Ba 3.39-3.56
Sb4 0.8395 0.1605 0.9293  6 Ba 3.39-3.56
N1 0.1844 0.8156 0.7500  4 Ba 2.69-2.82
N2 0.8156 0.1844 0.2500  4 Ba 2.69-2.82

Computed properties:
- E_form (uncorrected) (eV/f.u.) = -4.98
- total magnetic moment (μB per cell) = 1.79
- E_tot (eV per atom) = -3.896
- D(E_F) (states/eV/f.u.) = 1.795

[3]
Crystalline CaHoGaRu at its relaxed geometry, computed with PBE-GGA.

abc: 4.9330 4.9330 4.9330
angles: 60.00 60.00 60.00
Last column: nearest neighbours and their distance in Å.
Atoms (fractional coordinates):
Ca1 0.0000 0.0000 0.0000  4 Ru 3.02, 4 Ga 3.02
Ho1 0.5000 0.5000 0.5000  4 Ru 3.02, 4 Ga 3.02
Ga1 0.2500 0.2500 0.2500  4 Ho 3.02, 4 Ca 3.02
Ru1 0.7500 0.7500 0.7500  4 Ho 3.02, 4 Ca 3.02

Computed properties:
- energy of formation (eV per atom) = -0.217
- total magnetic moment (μB per cell) = 0.00
- E_tot (eV per atom) = -4.938
- D(E_F) (states/eV/f.u.) = 3.720

[4]
Crystalline AlRh3Pb at its relaxed geometry, computed with PBE-GGA.

abc: 4.5124 4.5124 4.5124
angles: 90.00 90.00 90.00
Last column: nearest neighbours and their distance in Å.
Atoms (fractional coordinates):
Al1 0.0000 0.0000 0.0000  6 Rh 2.26
Rh1 0.0000 0.0000 0.5000  2 Al 2.26
Rh2 0.0000 0.5000 0.0000  2 Al 2.26
Rh3 0.5000 0.0000 0.0000  2 Al 2.26
Pb1 0.5000 0.5000 0.5000  12 Rh 3.19

Computed properties:
- energy of formation (eV per atom) = 0.230
- total magnetic moment (μB per cell) = 0.00
- E_tot (eV per atom) = -5.671
- D(E_F) (states/eV/f.u.) = 0.872